1.
Computed, not measured: TbZnCd2 after structural relaxation at the PBE-GGA level of DFT.

Density, Mg/m³: 8.61
Space-group type: No. 119
D(E_F), states/eV/f.u.: 1.909
Electronic total energy, eV/atom: -2.20
DFT formation energy, eV per formula unit: -1.1

Lattice parameters (Å, degrees): 4.964 4.964 4.964 119.93 119.93 90.11
Sites, in units of the cell vectors:
Tb  0.000  0.000  0.000
Zn  0.750  0.250  0.500
Cd  0.250  0.750  0.500
Cd  0.500  0.500  0.000

---

2.
Computed, not measured: CaSi2Br after structural relaxation at the PBE-GGA level of DFT.

Density, Mg/m³: 2.64
Space-group type: No. 123
D(E_F), states/eV/f.u.: 0.255
Electronic total energy, eV/atom: -3.75
ΔE to the lowest computed polymorph, meV per atom: 555
Formation energy from raw total energies, eV/atom: -0.120

Lattice parameters (Å, degrees): 4.557 4.557 5.345 90.00 90.00 90.00
Sites, in units of the cell vectors:
Ca  0.000  0.000  0.000
Si  0.500  0.500  0.205
Si  0.500  0.500  0.795
Br  0.000  0.000  0.500

---

3.
Computed, not measured: KSr2Sb after structural relaxation at the PBE-GGA level of DFT.

Density, Mg/m³: 2.76
Space-group type: No. 44
D(E_F), states/eV/f.u.: 2.032
Electronic total energy, eV/atom: -2.59
Formation energy from raw total energies, eV/atom: -0.443

Lattice parameters (Å, degrees): 9.789 9.789 9.789 154.35 150.05 39.84
Sites, in units of the cell vectors:
K  0.000  0.000  0.000
Sr  0.333  0.833  0.500
Sr  0.672  0.672  0.000
Sb  0.813  0.313  0.500

---

Which value of D(E_F) does entry 3 give? 2.032 states/eV/f.u.